(1)
A crystal of Zr2ReMo relaxed with PBEsol. Source: the Alexandria database, functional meta-GGA SCAN.

Lattice parameters (Å, degrees): 9.3813 9.3813 9.3813 18.53 18.53 18.53
Element x y z (fractional)
Zr: 0.0000 0.0000 0.0000
Zr: 0.2386 0.2386 0.2386
Re: 0.4883 0.4883 0.4883
Mo: 0.7522 0.7522 0.7522

Formation enthalpy at 0 K in meV/atom: 235.9
ρ in Mg/m³: 10.59

---

(2)
A crystal of Zr2ReMo relaxed with PBEsol. Source: the Alexandria database, functional meta-GGA SCAN.

Lattice parameters (Å, degrees): 5.5344 5.5344 5.5344 145.88 131.07 61.00
Element x y z (fractional)
Zr: 0.0000 0.0000 0.0000
Zr: 0.7320 0.2320 0.5000
Re: 0.2517 0.7517 0.5000
Mo: 0.4743 0.4743 0.0000

Formation enthalpy at 0 K in meV/atom: -198.9
ρ in Mg/m³: 10.87

---

(3)
A crystal of Mo5Rh3 relaxed with PBEsol. Source: the Alexandria database, functional meta-GGA SCAN.

Lattice parameters (Å, degrees): 5.4890 5.4890 3.8571 90.00 90.00 90.43
Element x y z (fractional)
Mo: 0.0000 0.0000 0.0000
Mo: 0.0000 0.5000 0.0000
Mo: 0.2545 0.7455 0.5000
Mo: 0.5000 0.0000 0.0000
Mo: 0.7455 0.2545 0.5000
Rh: 0.2526 0.2526 0.5000
Rh: 0.5000 0.5000 0.0000
Rh: 0.7474 0.7474 0.5000

Formation enthalpy at 0 K in meV/atom: -42.6
ρ in Mg/m³: 11.27

---

(4)
A crystal of MoRh5 relaxed with PBEsol. Source: the Alexandria database, functional meta-GGA SCAN.

Lattice parameters (Å, degrees): 5.9761 5.9761 3.8162 90.00 90.00 142.91
Element x y z (fractional)
Mo: 0.0000 0.0000 0.0000
Rh: 0.1659 0.8341 0.5000
Rh: 0.3390 0.6610 0.0000
Rh: 0.5000 0.5000 0.5000
Rh: 0.6610 0.3390 0.0000
Rh: 0.8341 0.1659 0.5000

Excess energy over the best structure of this formula in the dataset in eV per atom: 0.000
Formation enthalpy at 0 K in meV/atom: -183.7
ρ in Mg/m³: 12.33

---

(5)
A crystal of MoRh relaxed with PBEsol. Source: the Alexandria database, functional meta-GGA SCAN.

Lattice parameters (Å, degrees): 5.1682 5.1682 4.7885 117.22 117.22 30.42
Element x y z (fractional)
Mo: 0.1230 0.1230 0.2844
Mo: 0.8770 0.8770 0.7156
Rh: 0.3774 0.3774 0.2057
Rh: 0.6226 0.6226 0.7943

Formation enthalpy at 0 K in meV/atom: -109.3
ρ in Mg/m³: 11.58

---

(6)
A crystal of MoRh relaxed with PBEsol. Source: the Alexandria database, functional meta-GGA SCAN.

Lattice parameters (Å, degrees): 2.7362 2.7362 4.3934 90.00 90.00 120.00
Element x y z (fractional)
Mo: 0.0000 0.0000 0.0000
Rh: 0.6667 0.3333 0.5000

Formation enthalpy at 0 K in meV/atom: -82.0
ρ in Mg/m³: 11.59

---

(7)
A crystal of Mo3Rh relaxed with PBEsol. Source: the Alexandria database, functional meta-GGA SCAN.

Lattice parameters (Å, degrees): 3.1552 3.1552 6.0076 90.00 90.00 90.00
Element x y z (fractional)
Mo: 0.0000 0.0000 0.0000
Mo: 0.5000 0.5000 0.2422
Mo: 0.5000 0.5000 0.7578
Rh: 0.0000 0.0000 0.5000

Formation enthalpy at 0 K in meV/atom: 143.7
ρ in Mg/m³: 10.85

---

(8)
A crystal of Mo2Rh relaxed with PBEsol. Source: the Alexandria database, functional meta-GGA SCAN.

Lattice parameters (Å, degrees): 4.4393 4.4393 2.6575 90.00 90.00 90.00
Element x y z (fractional)
Mo: 0.0000 0.5000 0.0000
Mo: 0.5000 0.0000 0.0000
Rh: 0.0000 0.0000 0.5000

Formation enthalpy at 0 K in meV/atom: 932.2
ρ in Mg/m³: 9.35

---

(9)
A crystal of MoRh relaxed with PBEsol. Source: the Alexandria database, functional meta-GGA SCAN.

Lattice parameters (Å, degrees): 5.2139 5.2139 6.4736 103.49 103.49 30.11
Element x y z (fractional)
Mo: 0.0000 0.0000 0.0000
Mo: 0.0632 0.0632 0.6186
Mo: 0.6841 0.6841 0.3316
Rh: 0.3398 0.3398 0.6704
Rh: 0.4017 0.4017 0.2835
Rh: 0.7253 0.7253 0.9469

Formation enthalpy at 0 K in meV/atom: -125.0
ρ in Mg/m³: 11.56

---

(10)
A crystal of Mo3Rh relaxed with PBEsol. Source: the Alexandria database, functional meta-GGA SCAN.

Lattice parameters (Å, degrees): 3.8974 3.8974 3.8974 90.00 90.00 90.00
Element x y z (fractional)
Mo: 0.0000 0.0000 0.5000
Mo: 0.0000 0.5000 0.0000
Mo: 0.5000 0.0000 0.0000
Rh: 0.5000 0.5000 0.5000

Formation enthalpy at 0 K in meV/atom: 98.5
ρ in Mg/m³: 10.96

---

(11)
A crystal of MoRh5 relaxed with PBEsol. Source: the Alexandria database, functional meta-GGA SCAN.

Lattice parameters (Å, degrees): 5.1174 5.1174 6.3569 103.67 103.67 30.67
Element x y z (fractional)
Mo: 0.0000 0.0000 0.0000
Rh: 0.0541 0.0541 0.6126
Rh: 0.3358 0.3358 0.6744
Rh: 0.3901 0.3901 0.2769
Rh: 0.6642 0.6642 0.3308
Rh: 0.7206 0.7206 0.9463

Excess energy over the best structure of this formula in the dataset in eV per atom: 0.061
Formation enthalpy at 0 K in meV/atom: -123.0
ρ in Mg/m³: 12.31

---

(12)
A crystal of MoRh relaxed with PBEsol. Source: the Alexandria database, functional meta-GGA SCAN.

Lattice parameters (Å, degrees): 4.7500 4.3501 5.5115 90.00 90.00 90.00
Element x y z (fractional)
Mo: 0.0893 0.2500 0.1228
Mo: 0.4107 0.7500 0.6228
Mo: 0.5893 0.2500 0.3772
Mo: 0.9107 0.7500 0.8772
Rh: 0.0822 0.2500 0.6245
Rh: 0.4178 0.7500 0.1245
Rh: 0.5822 0.2500 0.8755
Rh: 0.9178 0.7500 0.3755

Formation enthalpy at 0 K in meV/atom: -130.8
ρ in Mg/m³: 11.60

---

> Among the records above, which one has the highest ρ?

number 4

---

Repeat the second record exactly.
A crystal of Zr2ReMo relaxed with PBEsol. Source: the Alexandria database, functional meta-GGA SCAN.

Lattice parameters (Å, degrees): 5.5344 5.5344 5.5344 145.88 131.07 61.00
Element x y z (fractional)
Zr: 0.0000 0.0000 0.0000
Zr: 0.7320 0.2320 0.5000
Re: 0.2517 0.7517 0.5000
Mo: 0.4743 0.4743 0.0000

Formation enthalpy at 0 K in meV/atom: -198.9
ρ in Mg/m³: 10.87

---

> Look up the formation enthalpy at 0 K of the fifth one.

-109.3 meV/atom